Entry 1:
The following is a PBE-GGA calculation of a relaxed Tc2MoPb crystal, from the Alexandria database.

Values from the calculation:
* calculated volume: 71.3 Å³/f.u.
* total energy: -8.21 eV/atom

a b c (Å): 2.9258 2.9258 8.9869
angles (deg): 90.00 90.00 112.14
Atoms (fractional coordinates):
Tc: 0.0000 0.0000 0.2222
Tc: 0.0000 0.0000 0.7778
Mo: 0.5000 0.5000 0.0000
Pb: 0.5000 0.5000 0.5000

---

Entry 2:
The following is a PBE-GGA calculation of a relaxed Ag5Mo4 crystal, from the Alexandria database.

Values from the calculation:
* calculated volume: 156.5 Å³/f.u.
* total energy: -6.02 eV/atom

a b c (Å): 7.1411 7.1411 7.1411
angles (deg): 92.94 92.94 153.83
Atoms (fractional coordinates):
Ag: 0.0000 0.0000 0.0000
Ag: 0.3333 0.3333 0.6665
Ag: 0.3333 0.6667 0.0000
Ag: 0.6667 0.3333 0.0000
Ag: 0.6667 0.6667 0.3335
Mo: 0.0000 0.3527 0.3527
Mo: 0.0000 0.6473 0.6473
Mo: 0.3527 0.0000 0.3527
Mo: 0.6473 0.0000 0.6473